Record 1
Material: BaTeRu
Method: DFT, GGA-PBEsol
State: optimized geometry

Cell and atoms, written as CIF:
```
data_BaTeRu
_chemical_formula_sum 'Ba1 Te1 Ru1'
_space_group_name_H-M_alt 'P -6 m 2'
_space_group_IT_number 187
_space_group_name_Hall 'P -6 2'
_cell_length_a 4.4446
_cell_length_b 4.4446
_cell_length_c 4.9408
_cell_angle_alpha 90.00
_cell_angle_beta 90.00
_cell_angle_gamma 120.00
loop_
_atom_site_label
_atom_site_type_symbol
_atom_site_fract_x
_atom_site_fract_y
_atom_site_fract_z
Ba1 Ba 0.0000 0.0000 0.0000
Te1 Te 0.6667 0.3333 0.5000
Ru1 Ru 0.3333 0.6667 0.5000
```

magnetization = 0.00 μB per formula unit
formation energy from raw total energies = -0.3542 eV per atom



Record 2
Material: BaTeRu3
Method: DFT, GGA-PBEsol
State: optimized geometry

Cell and atoms, written as CIF:
```
data_BaTeRu3
_chemical_formula_sum 'Ba1 Te1 Ru3'
_space_group_name_H-M_alt 'P m -3 m'
_space_group_IT_number 221
_space_group_name_Hall '-P 4 2 3'
_cell_length_a 4.8716
_cell_length_b 4.8716
_cell_length_c 4.8716
_cell_angle_alpha 90.00
_cell_angle_beta 90.00
_cell_angle_gamma 90.00
loop_
_atom_site_label
_atom_site_type_symbol
_atom_site_fract_x
_atom_site_fract_y
_atom_site_fract_z
Ba1 Ba 0.0000 0.0000 0.0000
Te1 Te 0.5000 0.5000 0.5000
Ru1 Ru 0.0000 0.5000 0.5000
```

magnetization = 0.00 μB per formula unit
formation energy from raw total energies = 1.0045 eV per atom



Record 3
Material: BaTeRu2
Method: DFT, GGA-PBEsol
State: optimized geometry

Cell and atoms, written as CIF:
```
data_BaTeRu2
_chemical_formula_sum 'Ba1 Te1 Ru2'
_space_group_name_H-M_alt 'P 1 2/m 1'
_space_group_IT_number 10
_cell_length_a 3.1733
_cell_length_b 4.1162
_cell_length_c 7.0173
_cell_angle_alpha 90.00
_cell_angle_beta 102.04
_cell_angle_gamma 90.00
loop_
_space_group_symop_operation_xyz
'x,y,z'
'-x,-y,-z'
'-x,y,-z'
'x,-y,z'
loop_
_atom_site_label
_atom_site_type_symbol
_atom_site_fract_x
_atom_site_fract_y
_atom_site_fract_z
Ba1 Ba 0.0000 0.0000 0.0000
Te1 Te 0.5000 0.0000 0.5000
Ru1 Ru 0.2961 0.5000 0.6683
```

magnetization = 0.00 μB per formula unit
formation energy from raw total energies = 0.5712 eV per atom



Record 4
Material: Ba2TlRu
Method: DFT, GGA-PBEsol
State: optimized geometry

Cell and atoms, written as CIF:
```
data_Ba2TlRu
_chemical_formula_sum 'Ba8 Tl4 Ru4'
_space_group_name_H-M_alt 'F -4 3 m'
_space_group_IT_number 216
_space_group_name_Hall 'F -4 2 3'
_cell_length_a 7.5525
_cell_length_b 7.5525
_cell_length_c 7.5525
_cell_angle_alpha 90.00
_cell_angle_beta 90.00
_cell_angle_gamma 90.00
loop_
_atom_site_label
_atom_site_type_symbol
_atom_site_fract_x
_atom_site_fract_y
_atom_site_fract_z
Ba1 Ba 0.0000 0.0000 0.0000
Ba2 Ba 0.2500 0.2500 0.2500
Tl1 Tl 0.0000 0.0000 0.5000
Ru1 Ru 0.2500 0.2500 0.7500
```

magnetization = 0.00 μB per formula unit
E above lowest polymorph = 137 meV per atom
formation energy = 39.6 kJ per mole of atoms



Record 5
Material: BaTlRu2
Method: DFT, GGA-PBEsol
State: optimized geometry

Cell and atoms, written as CIF:
```
data_BaTlRu2
_chemical_formula_sum 'Ba3 Tl3 Ru6'
_space_group_name_H-M_alt 'R 3 m'
_space_group_IT_number 160
_space_group_name_Hall 'R 3 -2"'
_cell_length_a 3.0826
_cell_length_b 3.0826
_cell_length_c 30.1103
_cell_angle_alpha 90.00
_cell_angle_beta 90.00
_cell_angle_gamma 120.00
loop_
_atom_site_label
_atom_site_type_symbol
_atom_site_fract_x
_atom_site_fract_y
_atom_site_fract_z
Ba1 Ba 0.0000 0.0000 0.0000
Tl1 Tl 0.0000 0.0000 0.7710
Ru1 Ru 0.0000 0.0000 0.2422
Ru2 Ru 0.0000 0.0000 0.5149
```

magnetization = 0.00 μB per formula unit
E above lowest polymorph = 0 meV per atom
formation energy = 82.3 kJ per mole of atoms



Record 6
Material: Ba2TlRu
Method: DFT, GGA-PBEsol
State: optimized geometry

Cell and atoms, written as CIF:
```
data_Ba2TlRu
_chemical_formula_sum 'Ba2 Tl1 Ru1'
_space_group_name_H-M_alt 'P 4 m m'
_space_group_IT_number 99
_cell_length_a 3.7698
_cell_length_b 3.7698
_cell_length_c 9.3034
_cell_angle_alpha 90.00
_cell_angle_beta 90.00
_cell_angle_gamma 90.00
loop_
_space_group_symop_operation_xyz
'x,y,z'
'-y,x,z'
'-x,-y,z'
'y,-x,z'
'-x,y,z'
'y,x,z'
'x,-y,z'
'-y,-x,z'
loop_
_atom_site_label
_atom_site_type_symbol
_atom_site_fract_x
_atom_site_fract_y
_atom_site_fract_z
Ba1 Ba 0.0000 0.0000 0.0000
Ba2 Ba 0.5000 0.5000 0.4256
Tl1 Tl 0.5000 0.5000 0.7703
Ru1 Ru 0.0000 0.0000 0.6662
```

magnetization = 0.65 μB per formula unit
E above lowest polymorph = 0 meV per atom
formation energy = 26.4 kJ per mole of atoms



Record 7
Material: BaTlRu2
Method: DFT, GGA-PBEsol
State: optimized geometry

Cell and atoms, written as CIF:
```
data_BaTlRu2
_chemical_formula_sum 'Ba2 Tl2 Ru4'
_space_group_name_H-M_alt 'I -4 m 2'
_space_group_IT_number 119
_space_group_name_Hall 'I -4 -2'
_cell_length_a 4.0443
_cell_length_b 4.0443
_cell_length_c 9.9463
_cell_angle_alpha 90.00
_cell_angle_beta 90.00
_cell_angle_gamma 90.00
loop_
_atom_site_label
_atom_site_type_symbol
_atom_site_fract_x
_atom_site_fract_y
_atom_site_fract_z
Ba1 Ba 0.0000 0.0000 0.0000
Tl1 Tl 0.0000 0.5000 0.7500
Ru1 Ru 0.0000 0.0000 0.5000
Ru2 Ru 0.0000 0.5000 0.2500
```

magnetization = 0.20 μB per formula unit
E above lowest polymorph = 151 meV per atom
formation energy = 96.9 kJ per mole of atoms



Record 8
Material: Ba2TlRu
Method: DFT, GGA-PBEsol
State: optimized geometry

Cell and atoms, written as CIF:
```
data_Ba2TlRu
_chemical_formula_sum 'Ba4 Tl2 Ru2'
_space_group_name_H-M_alt 'I m m m'
_space_group_IT_number 71
_space_group_name_Hall '-I 2 2'
_cell_length_a 5.5287
_cell_length_b 5.5379
_cell_length_c 7.8304
_cell_angle_alpha 90.00
_cell_angle_beta 90.00
_cell_angle_gamma 90.00
loop_
_atom_site_label
_atom_site_type_symbol
_atom_site_fract_x
_atom_site_fract_y
_atom_site_fract_z
Ba1 Ba 0.0000 0.0000 0.2498
Tl1 Tl 0.0000 0.5000 0.0000
Ru1 Ru 0.0000 0.5000 0.5000
```

magnetization = 0.00 μB per formula unit
E above lowest polymorph = 106 meV per atom
formation energy = 36.6 kJ per mole of atoms



- The highest magnetization belongs to which entry?
  number 6



- Among the records above, which one has the highest magnetization?
  number 6



- What is the formula in the eighth record?
  Ba2TlRu